## AgSeI2O (GGA-PBE)

Data for an optimized crystal structure of AgSeI2O.

Structure (POSCAR):
```
AgSeI2O
1.0
5.688 0.000 0.000
0.000 5.688 0.000
0.000 0.000 4.001
Se Ag O I
1 1 1 2
direct
0.500 0.500 0.500
0.000 0.000 0.000
0.000 0.000 0.500
0.000 0.500 0.000
0.500 0.000 0.000
```

## Properties
As for the space-group type: P4/mmm, No. 123. The value obtained for the distance to the lowest polymorph of the same formula is 471.4 meV/atom. For the volume, the calculation gives 129.4 Å³ per cell. The uncorrected formation energy comes out at 558.5 meV/atom. For the total magnetization, the calculation gives 0.00 μB per cell.

***

## Ag4SeI2O4 (GGA-PBE)

Data for an optimized crystal structure of Ag4SeI2O4.

Structure (POSCAR):
```
Ag4SeI2O4
1.0
7.315 0.000 0.000
0.000 9.488 0.000
0.000 0.000 13.289
O Ag I Se
16 16 8 4
direct
0.277 0.635 0.946
0.791 0.132 0.930
0.464 0.125 0.371
0.093 0.132 0.370
0.291 0.868 0.070
0.291 0.368 0.430
0.593 0.868 0.630
0.464 0.625 0.129
0.964 0.375 0.871
0.791 0.632 0.570
0.277 0.135 0.554
0.777 0.865 0.446
0.777 0.365 0.054
0.093 0.632 0.130
0.964 0.875 0.629
0.593 0.368 0.870
0.548 0.966 0.973
0.877 0.530 0.735
0.048 0.534 0.473
0.931 0.733 0.304
0.931 0.233 0.196
0.777 0.626 0.081
0.431 0.767 0.804
0.377 0.970 0.235
0.277 0.874 0.581
0.777 0.126 0.419
0.877 0.030 0.765
0.048 0.034 0.027
0.377 0.470 0.265
0.548 0.466 0.527
0.431 0.267 0.696
0.277 0.374 0.919
0.299 0.244 0.118
0.773 0.952 0.183
0.299 0.744 0.382
0.799 0.756 0.882
0.273 0.048 0.817
0.773 0.452 0.317
0.799 0.256 0.618
0.273 0.548 0.683
0.778 0.813 0.567
0.278 0.687 0.067
0.278 0.187 0.433
0.778 0.313 0.933
```

## Properties
As for the space-group type: Pna2_1, No. 33. For the volume, the calculation gives 922.4 Å³ per cell. The uncorrected formation energy comes out at -354.9 meV/atom. For the total magnetization, the calculation gives 0.00 μB per cell.

***

## AgSeI2O (GGA-PBE)

Data for an optimized crystal structure of AgSeI2O.

Structure (POSCAR):
```
AgSeI2O
1.0
-0.364 3.071 -5.033
-2.163 -4.761 -2.748
-3.550 1.083 0.918
Se Ag O I
1 1 1 2
direct
0.000 0.000 0.000
0.500 0.500 0.500
0.000 0.000 0.500
0.500 0.000 0.000
0.000 0.500 0.000
```

## Properties
As for the space-group type: P4/mmm, No. 123. The value obtained for the distance to the lowest polymorph of the same formula is 0.0 meV/atom. For the volume, the calculation gives 133.4 Å³ per cell. The uncorrected formation energy comes out at 87.2 meV/atom. For the total magnetization, the calculation gives 0.00 μB per cell.

***

## SiAgIO2 (GGA-PBE)

Data for an optimized crystal structure of SiAgIO2.

Structure (POSCAR):
```
SiAgIO2
1.0
4.170 0.000 0.000
0.000 4.170 0.000
0.000 0.000 5.572
O I Ag Si
2 1 1 1
direct
0.000 0.500 0.000
0.500 0.000 0.000
0.000 0.000 0.500
0.000 0.000 0.000
0.500 0.500 0.500
```

## Properties
As for the space-group type: P4/mmm, No. 123. The value obtained for the distance to the lowest polymorph of the same formula is 1317.1 meV/atom. For the volume, the calculation gives 96.9 Å³ per cell. The uncorrected formation energy comes out at 686.3 meV/atom. For the total magnetization, the calculation gives 0.54 μB per cell.

***

## SiAgI2O (GGA-PBE)

Data for an optimized crystal structure of SiAgI2O.

Structure (POSCAR):
```
SiAgI2O
1.0
5.695 0.000 0.000
0.000 5.695 0.000
0.000 0.000 3.550
I Ag Si O
2 1 1 1
direct
0.000 0.500 0.000
0.500 0.000 0.000
0.500 0.500 0.500
0.000 0.000 0.000
0.000 0.000 0.500
```

## Properties
As for the space-group type: P4/mmm, No. 123. The value obtained for the distance to the lowest polymorph of the same formula is 0.0 meV/atom. For the volume, the calculation gives 115.1 Å³ per cell. The uncorrected formation energy comes out at -335.1 meV/atom. For the total magnetization, the calculation gives 0.00 μB per cell.

***

## SiAgI2O (GGA-PBE)

Data for an optimized crystal structure of SiAgI2O.

Structure (POSCAR):
```
SiAgI2O
1.0
5.689 0.000 0.000
0.000 5.689 0.000
0.000 0.000 4.007
I Si Ag O
2 1 1 1
direct
0.500 0.000 0.000
0.000 0.500 0.000
0.500 0.500 0.500
0.000 0.000 0.000
0.000 0.000 0.500
```

## Properties
As for the space-group type: P4/mmm, No. 123. The value obtained for the distance to the lowest polymorph of the same formula is 890.3 meV/atom. For the volume, the calculation gives 129.7 Å³ per cell. The uncorrected formation energy comes out at 555.3 meV/atom. For the total magnetization, the calculation gives 0.00 μB per cell.